Compound: TiFe4
Source: Alexandria via LeMat-Bulk
Functional: PBE
Structure: optimized geometry

## Properties
Crystal system ... orthorhombic
Calculated density ... 7.53 g cm⁻³
E above lowest polymorph ... 0.000 eV/atom
Magnetic moment ... 5.58 μB/cell

Cell and atoms, written as CIF:
```
data_TiFe4
_cell_length_a 3.5623
_cell_length_b 3.5769
_cell_length_c 18.7688
_cell_angle_alpha 90.00
_cell_angle_beta 90.00
_cell_angle_gamma 90.00
_symmetry_space_group_name_H-M 'F m m m'
_symmetry_Int_Tables_number 69
_symmetry_space_group_name_Hall '-F 2 2'
loop_
_atom_site_label
_atom_site_fract_x
_atom_site_fract_y
_atom_site_fract_z
Ti1 0.0000 0.0000 0.0000
Fe1 0.0000 0.0000 0.1995
Fe2 0.0000 0.0000 0.3905
```

=====

Compound: TiFe
Source: Alexandria via LeMat-Bulk
Functional: PBE
Structure: optimized geometry

## Properties
Crystal system ... hexagonal
Calculated density ... 5.96 g cm⁻³
Total DFT energy (no corrections) ... -97.3 eV/cell
Magnetic moment ... 4.20 μB/cell

Cell and atoms, written as CIF:
```
data_TiFe
_cell_length_a 6.8322
_cell_length_b 6.8322
_cell_length_c 4.2897
_cell_angle_alpha 90.00
_cell_angle_beta 90.00
_cell_angle_gamma 120.00
_symmetry_space_group_name_H-M 'P 63/m'
_symmetry_Int_Tables_number 176
_symmetry_space_group_name_Hall '-P 6c'
loop_
_atom_site_label
_atom_site_fract_x
_atom_site_fract_y
_atom_site_fract_z
Ti1 0.1391 0.8083 0.2500
Fe1 0.1137 0.6005 0.7500
```